w) ## Ca2NdMg (PBE-GGA)

Data for an optimized crystal structure of Ca2NdMg.

Geometry as CIF:
```
data_Ca2NdMg
_chemical_formula_sum 'Ca6 Nd3 Mg3'
_cell_length_a 3.5846
_cell_length_b 3.5846
_cell_length_c 38.1846
_cell_angle_alpha 90.00
_cell_angle_beta 90.00
_cell_angle_gamma 120.00
_symmetry_space_group_name_H-M 'R -3 m'
_symmetry_Int_Tables_number 166
_symmetry_space_group_name_Hall '-R 3 2"'
loop_
_atom_site_label
_atom_site_type_symbol
_atom_site_fract_x
_atom_site_fract_y
_atom_site_fract_z
Ca1 Ca 0.0000 0.0000 0.0929
Nd1 Nd 0.0000 0.0000 0.0000
Mg1 Mg 0.0000 0.0000 0.5000
```


x) ## Ca2NdMg (PBE-GGA)

Data for an optimized crystal structure of Ca2NdMg.

Geometry as CIF:
```
data_Ca2NdMg
_chemical_formula_sum 'Ca6 Nd3 Mg3'
_cell_length_a 3.7302
_cell_length_b 3.7302
_cell_length_c 35.0482
_cell_angle_alpha 90.00
_cell_angle_beta 90.00
_cell_angle_gamma 120.00
_symmetry_space_group_name_H-M 'R 3 m'
_symmetry_Int_Tables_number 160
_symmetry_space_group_name_Hall 'R 3 -2"'
loop_
_atom_site_label
_atom_site_type_symbol
_atom_site_fract_x
_atom_site_fract_y
_atom_site_fract_z
Ca1 Ca 0.0000 0.0000 0.0000
Ca2 Ca 0.0000 0.0000 0.1773
Nd1 Nd 0.0000 0.0000 0.4223
Mg1 Mg 0.0000 0.0000 0.5884
```


y) ## Ca2NdMg (PBE-GGA)

Data for an optimized crystal structure of Ca2NdMg.

Geometry as CIF:
```
data_Ca2NdMg
_chemical_formula_sum 'Ca2 Nd1 Mg1'
_cell_length_a 4.2102
_cell_length_b 4.2102
_cell_length_c 7.7888
_cell_angle_alpha 90.00
_cell_angle_beta 90.00
_cell_angle_gamma 90.00
_symmetry_space_group_name_H-M 'P 4/m m m'
_symmetry_Int_Tables_number 123
_symmetry_space_group_name_Hall '-P 4 2'
loop_
_atom_site_label
_atom_site_type_symbol
_atom_site_fract_x
_atom_site_fract_y
_atom_site_fract_z
Ca1 Ca 0.0000 0.0000 0.2318
Nd1 Nd 0.5000 0.5000 0.5000
Mg1 Mg 0.5000 0.5000 0.0000
```


z) ## Ca2NdMg (PBE-GGA)

Data for an optimized crystal structure of Ca2NdMg.

Geometry as CIF:
```
data_Ca2NdMg
_chemical_formula_sum 'Ca8 Nd4 Mg4'
_cell_length_a 5.5167
_cell_length_b 5.5167
_cell_length_c 18.5009
_cell_angle_alpha 90.00
_cell_angle_beta 90.00
_cell_angle_gamma 90.00
_symmetry_space_group_name_H-M 'I 4/m m m'
_symmetry_Int_Tables_number 139
_symmetry_space_group_name_Hall '-I 4 2'
loop_
_atom_site_label
_atom_site_type_symbol
_atom_site_fract_x
_atom_site_fract_y
_atom_site_fract_z
Ca1 Ca 0.0000 0.0000 0.1462
Ca2 Ca 0.0000 0.5000 0.0000
Nd1 Nd 0.0000 0.0000 0.3522
Mg1 Mg 0.0000 0.5000 0.2500
```


Preferred: z); penalty for the next structure: 0.057 eV/atom.